Na4LiAu4: optimized geometry, PBE.

Cell lengths 5.643, 5.662, 12.537 Å; angles 90.00, 90.00, 90.00 degrees
Space group I222 (No. 23)
One atom of each set of equivalent atoms:
1 Na 0.223 0.221 0.175
2 Li 0.000 0.000 0.000
3 Au 0.198 0.196 0.422

## Properties
Fermi-level density of states = 3.33 states/eV per cell
ρ = 7.35 g cm⁻³
magnetization = 0.0 Bohr magnetons per cell
formation energy = -2.141 eV per formula unit
energy = -0.1833 Ry per atom
crystal system = orthorhombic